DFT (PBE-GGA) results for a relaxed Ho2Al3Au5 crystal.

Cell lengths 4.4687, 7.0311, 12.5987 Å; angles 90.00, 100.22, 90.00 degrees
Positions (direct):
Ho  0.4818  0.7449  0.9636
Ho  0.1770  0.7383  0.3540
Ho  0.8230  0.2383  0.6460
Ho  0.5182  0.2449  0.0364
Al  0.7758  0.7111  0.5516
Al  0.6028  0.5627  0.2055
Al  0.0540  0.9365  0.1080
Al  0.2242  0.2111  0.4484
Al  0.9460  0.4365  0.8920
Al  0.3972  0.0627  0.7945
Au  0.3942  0.4396  0.7884
Au  0.2827  0.5104  0.5653
Au  0.7173  0.0104  0.4347
Au  0.1190  0.2400  0.2380
Au  0.3006  0.9282  0.6011
Au  0.9532  0.0531  0.9063
Au  0.6994  0.4282  0.3989
Au  0.8810  0.7400  0.7620
Au  0.0468  0.5531  0.0937
Au  0.6058  0.9396  0.2116

The space group is Cmc2_1 (36). The total energy comes out at -86.633 eV per cell. Its formation energy is -0.655 eV per atom. Its theoretical density is 11.9 g/cm³.